A relaxed CaTi2Ni2 crystal. Source: Alexandria, functional PBE.

Summary:
The electronic total energy comes out at -29.70 eV per formula unit. The value obtained for the density of states at the Fermi level is 8.50 states/eV/f.u. The energy relative to the lowest polymorph listed for this composition comes out at 99 meV per atom.

Cell: 7.479 7.479 3.005 Å, 90.00 90.00 90.00°
Positions (direct):
Ni: 0.376 0.876 0.000
Ni: 0.876 0.624 0.000
Ni: 0.624 0.124 0.000
Ni: 0.124 0.376 0.000
Ca: 0.000 0.000 0.000
Ca: 0.500 0.500 0.000
Ti: 0.151 0.651 0.500
Ti: 0.651 0.849 0.500
Ti: 0.849 0.349 0.500
Ti: 0.349 0.151 0.500